Below is a relaxed structure of VPCO2, with properties calculated at the GGA+U level.

Unit cell a=3.671 b=3.671 c=3.792 alpha=90.00 beta=90.00 gamma=90.00
Element x y z (fractional)
V 0.000 0.000 0.000
P 0.500 0.500 0.000
C 0.500 0.500 0.500
O 0.000 0.500 0.500
O 0.500 0.000 0.500

Computed properties:
- Raw total energy: -28.0 eV/f.u.